DFT (PBE) results for a relaxed ReSe3 crystal.

Cell and atoms, written as extended XYZ:
```
16
Lattice="-3.522 2.085 3.931 -3.546 -4.643 -0.715 5.605 -5.503 7.941" Properties=species:S:1:pos:R:3 pbc="T T T"
Re -1.069 -7.285 7.489
Re -0.825 -3.893 1.812
Re -0.638 -4.169 9.345
Re -0.394 -0.777 3.668
Se 3.445 -4.069 6.532
Se -2.480 -2.058 4.253
Se 1.017 -6.004 6.905
Se -4.908 -3.992 4.626
Se 1.832 -4.689 9.508
Se -0.865 -1.440 1.272
Se -2.216 -5.032 7.592
Se -1.677 -4.962 3.941
Se -3.296 -3.373 1.649
Se -0.598 -6.621 9.885
Se 0.753 -3.029 3.565
Se 0.214 -3.100 7.216
```

Calculated values
The value obtained for the formation energy from raw total energies is 0.111 eV per atom. As for the relative energy among the computed polymorphs: 138.2 meV per atom. The value obtained for the density of states at the Fermi level is 2.53 states/eV/f.u.